Material: KMnO4
Method: DFT, GGA+U
State: relaxed

a = 9.282 Å, b = 5.865 Å, c = 7.546 Å
α = 90.00°, β = 90.00°, γ = 90.00°
Positions (direct):
K 0.183 0.250 0.156
K 0.317 0.750 0.656
K 0.683 0.250 0.344
K 0.817 0.750 0.844
Mn 0.057 0.250 0.692
Mn 0.443 0.750 0.192
Mn 0.557 0.250 0.808
Mn 0.943 0.750 0.308
O 0.078 0.024 0.813
O 0.078 0.476 0.813
O 0.104 0.750 0.390
O 0.175 0.250 0.534
O 0.325 0.750 0.034
O 0.396 0.250 0.890
O 0.422 0.524 0.313
O 0.422 0.976 0.313
O 0.578 0.024 0.687
O 0.578 0.476 0.687
O 0.604 0.750 0.110
O 0.675 0.250 0.966
O 0.825 0.750 0.466
O 0.896 0.250 0.610
O 0.922 0.524 0.187
O 0.922 0.976 0.187

Computed properties:
Its symmetry is Pnma (62). Its total energy is -5.73 eV/atom. Its mass density is 2555 kg/m³. The crystal system is orthorhombic.

---

Material: KMnO2
Method: DFT, GGA+U
State: relaxed

a = 13.105 Å, b = 2.946 Å, c = 6.364 Å
α = 90.00°, β = 90.00°, γ = 90.00°
Positions (direct):
K 0.138 0.250 0.010
K 0.362 0.750 0.510
K 0.638 0.250 0.490
K 0.862 0.750 0.990
Mn 0.102 0.250 0.503
Mn 0.398 0.750 0.003
Mn 0.602 0.250 0.997
Mn 0.898 0.750 0.497
O 0.048 0.750 0.680
O 0.171 0.750 0.361
O 0.329 0.250 0.861
O 0.452 0.250 0.180
O 0.548 0.750 0.820
O 0.671 0.750 0.139
O 0.829 0.250 0.639
O 0.952 0.250 0.320

Computed properties:
Its symmetry is Pnma (62). Its total energy is -6.17 eV/atom. Its mass density is 3407 kg/m³. The crystal system is orthorhombic.

---

Material: K3MnO4
Method: DFT, GGA+U
State: relaxed

a = 5.854 Å, b = 5.854 Å, c = 5.854 Å
α = 111.56°, β = 111.56°, γ = 105.37°
Positions (direct):
K 0.000 0.000 0.000
K 0.250 0.750 0.500
K 0.750 0.250 0.500
Mn 0.500 0.500 0.000
O 0.208 0.512 0.000
O 0.488 0.488 0.696
O 0.512 0.208 0.000
O 0.792 0.792 0.304

Computed properties:
Its symmetry is I-42m (121). Its total energy is -5.25 eV/atom. Its mass density is 2550 kg/m³. The crystal system is tetragonal.

---

Material: KMnO2
Method: DFT, GGA+U
State: relaxed

a = 6.870 Å, b = 6.870 Å, c = 8.743 Å
α = 129.48°, β = 129.48°, γ = 27.01°
Positions (direct):
K 0.166 0.166 0.167
K 0.834 0.834 0.833
Mn 0.001 0.001 0.660
Mn 0.999 0.999 0.340
O 0.131 0.131 0.630
O 0.498 0.498 0.206
O 0.502 0.502 0.794
O 0.869 0.869 0.370

Computed properties:
Its symmetry is C2/m (12). Its total energy is -6.00 eV/atom. Its mass density is 2952 kg/m³. The crystal system is monoclinic.

---

Material: K5MnO3
Method: DFT, GGA+U
State: relaxed

a = 11.114 Å, b = 6.554 Å, c = 6.554 Å
α = 90.31°, β = 90.00°, γ = 90.00°
Positions (direct):
K 0.000 0.000 0.000
K 0.000 0.380 0.380
K 0.174 0.530 0.901
K 0.174 0.901 0.530
K 0.339 0.387 0.387
K 0.500 0.584 0.944
K 0.500 0.944 0.584
K 0.661 0.387 0.387
K 0.826 0.530 0.901
K 0.826 0.901 0.530
Mn 0.337 0.045 0.045
Mn 0.663 0.045 0.045
O 0.000 0.667 0.667
O 0.192 0.181 0.181
O 0.327 0.832 0.832
O 0.500 0.166 0.166
O 0.673 0.832 0.832
O 0.808 0.181 0.181

Computed properties:
Its symmetry is Amm2 (38). Its total energy is -4.11 eV/atom. Its mass density is 2076 kg/m³. The crystal system is orthorhombic.

---

Material: KMnO2
Method: DFT, GGA+U
State: relaxed

a = 3.131 Å, b = 3.131 Å, c = 6.195 Å
α = 105.00°, β = 105.00°, γ = 59.01°
Positions (direct):
K 0.000 0.000 0.000
Mn 0.500 0.500 0.500
O 0.219 0.219 0.667
O 0.781 0.781 0.333

Computed properties:
Its symmetry is C2/m (12). Its total energy is -5.82 eV/atom. Its mass density is 4211 kg/m³. The crystal system is monoclinic.

---

Material: KMnOs2O8
Method: DFT, GGA+U
State: relaxed

a = 5.855 Å, b = 5.855 Å, c = 7.502 Å
α = 90.00°, β = 90.00°, γ = 120.00°
Positions (direct):
K 0.000 0.000 0.000
Mn 0.000 0.000 0.500
Os 0.333 0.667 0.755
Os 0.667 0.333 0.245
O 0.158 0.330 0.681
O 0.172 0.842 0.681
O 0.330 0.172 0.319
O 0.333 0.667 0.991
O 0.667 0.333 0.009
O 0.670 0.828 0.681
O 0.828 0.158 0.319
O 0.842 0.670 0.319

Computed properties:
Its symmetry is P-3 (147). Its total energy is -7.05 eV/atom. Its mass density is 4493 kg/m³. The crystal system is trigonal.

---

Material: K2MnOs3O12
Method: DFT, GGA+U
State: relaxed

a = 7.183 Å, b = 7.183 Å, c = 7.183 Å
α = 60.92°, β = 60.92°, γ = 60.92°
Positions (direct):
K 0.123 0.123 0.123
K 0.877 0.877 0.877
Mn 0.500 0.500 0.500
Os 0.000 0.500 0.500
Os 0.500 0.000 0.500
Os 0.500 0.500 0.000
O 0.167 0.572 0.572
O 0.187 0.187 0.572
O 0.187 0.572 0.187
O 0.428 0.428 0.833
O 0.428 0.813 0.813
O 0.428 0.833 0.428
O 0.572 0.167 0.572
O 0.572 0.187 0.187
O 0.572 0.572 0.167
O 0.813 0.428 0.813
O 0.813 0.813 0.428
O 0.833 0.428 0.428

Computed properties:
Its symmetry is R-3m (166). Its total energy is -6.94 eV/atom. Its mass density is 5561 kg/m³. The crystal system is trigonal.

---

Material: K3Mn3OsO8
Method: DFT, GGA+U
State: relaxed

a = 6.496 Å, b = 6.496 Å, c = 7.103 Å
α = 116.37°, β = 116.37°, γ = 56.45°
Positions (direct):
K 0.000 0.000 0.000
K 0.000 0.500 0.000
K 0.500 0.000 0.000
Mn 0.000 0.500 0.500
Mn 0.500 0.000 0.500
Mn 0.500 0.500 0.500
Os 0.000 0.000 0.500
O 0.198 0.198 0.660
O 0.241 0.732 0.673
O 0.262 0.262 0.328
O 0.268 0.759 0.327
O 0.732 0.241 0.673
O 0.738 0.738 0.672
O 0.759 0.268 0.327
O 0.802 0.802 0.340

Computed properties:
Its symmetry is C2/m (12). Its total energy is -6.54 eV/atom. Its mass density is 4622 kg/m³. The crystal system is monoclinic.

---

Material: K2Mn2OsO6
Method: DFT, GGA+U
State: relaxed

a = 5.489 Å, b = 5.489 Å, c = 6.516 Å
α = 99.09°, β = 99.09°, γ = 118.56°
Positions (direct):
K 0.174 0.826 0.000
K 0.826 0.174 0.000
Mn 0.335 0.665 0.500
Mn 0.665 0.335 0.500
Os 0.000 0.000 0.500
O 0.055 0.360 0.674
O 0.238 0.238 0.332
O 0.360 0.055 0.674
O 0.640 0.945 0.326
O 0.762 0.762 0.668
O 0.945 0.640 0.326

Computed properties:
Its symmetry is C2/m (12). Its total energy is -6.70 eV/atom. Its mass density is 4803 kg/m³. The crystal system is monoclinic.

---

Material: KMn4P3O12
Method: DFT, GGA+U
State: relaxed

a = 10.038 Å, b = 16.858 Å, c = 6.503 Å
α = 90.00°, β = 90.00°, γ = 90.00°
Positions (direct):
K 0.209 0.035 0.000
K 0.291 0.535 0.500
K 0.709 0.465 0.500
K 0.791 0.965 0.000
Mn 0.018 0.139 0.500
Mn 0.043 0.596 0.000
Mn 0.249 0.297 0.252
Mn 0.249 0.297 0.748
Mn 0.251 0.797 0.248
Mn 0.251 0.797 0.752
Mn 0.457 0.096 0.500
Mn 0.482 0.639 0.000
Mn 0.518 0.361 0.000
Mn 0.543 0.904 0.500
Mn 0.749 0.203 0.248
Mn 0.749 0.203 0.752
Mn 0.751 0.703 0.252
Mn 0.751 0.703 0.748
Mn 0.957 0.404 0.000
Mn 0.982 0.861 0.500
P 0.040 0.216 0.000
P 0.045 0.668 0.500
P 0.216 0.964 0.500
P 0.284 0.464 0.000
P 0.455 0.168 0.000
P 0.460 0.716 0.500
P 0.540 0.284 0.500
P 0.545 0.832 0.000
P 0.716 0.536 0.000
P 0.784 0.036 0.500
P 0.955 0.332 0.500
P 0.960 0.784 0.000
O 0.088 0.624 0.306
O 0.088 0.624 0.694
O 0.092 0.176 0.197
O 0.092 0.176 0.803
O 0.102 0.303 0.000
O 0.110 0.316 0.500
O 0.115 0.754 0.500
O 0.115 0.775 0.000
O 0.131 0.478 0.000
O 0.150 0.046 0.500
O 0.172 0.914 0.309
O 0.172 0.914 0.691
O 0.328 0.414 0.191
O 0.328 0.414 0.809
O 0.350 0.546 0.000
O 0.369 0.978 0.500
O 0.385 0.254 0.000
O 0.385 0.275 0.500
O 0.390 0.816 0.000
O 0.398 0.803 0.500
O 0.408 0.676 0.303
O 0.408 0.676 0.697
O 0.412 0.124 0.194
O 0.412 0.124 0.806
O 0.588 0.876 0.194
O 0.588 0.876 0.806
O 0.592 0.324 0.303
O 0.592 0.324 0.697
O 0.602 0.197 0.500
O 0.610 0.184 0.000
O 0.615 0.725 0.500
O 0.615 0.746 0.000
O 0.631 0.022 0.500
O 0.650 0.454 0.000
O 0.672 0.586 0.191
O 0.672 0.586 0.809
O 0.828 0.086 0.309
O 0.828 0.086 0.691
O 0.850 0.954 0.500
O 0.869 0.522 0.000
O 0.885 0.225 0.000
O 0.885 0.246 0.500
O 0.890 0.684 0.500
O 0.898 0.697 0.000
O 0.908 0.824 0.197
O 0.908 0.824 0.803
O 0.912 0.376 0.306
O 0.912 0.376 0.694

Computed properties:
Its symmetry is Pnnm (58). Its total energy is -7.49 eV/atom. Its mass density is 3282 kg/m³. The crystal system is orthorhombic.

---

Material: K2MnP2O7
Method: DFT, GGA+U
State: relaxed

a = 9.685 Å, b = 5.611 Å, c = 14.061 Å
α = 90.00°, β = 117.42°, γ = 90.00°
Positions (direct):
K 0.007 0.234 0.135
K 0.007 0.266 0.635
K 0.465 0.229 0.323
K 0.465 0.271 0.823
K 0.535 0.729 0.177
K 0.535 0.771 0.677
K 0.993 0.734 0.365
K 0.993 0.766 0.865
Mn 0.268 0.243 0.519
Mn 0.268 0.257 0.019
Mn 0.732 0.743 0.981
Mn 0.732 0.757 0.481
P 0.168 0.741 0.139
P 0.168 0.759 0.639
P 0.327 0.725 0.380
P 0.327 0.775 0.880
P 0.673 0.225 0.120
P 0.673 0.275 0.620
P 0.832 0.241 0.361
P 0.832 0.259 0.861
O 0.008 0.232 0.430
O 0.008 0.268 0.930
O 0.185 0.706 0.759
O 0.185 0.794 0.259
O 0.245 0.544 0.616
O 0.245 0.956 0.116
O 0.250 0.503 0.144
O 0.250 0.997 0.644
O 0.286 0.026 0.901
O 0.286 0.474 0.401
O 0.309 0.584 0.950
O 0.309 0.916 0.450
O 0.479 0.736 0.371
O 0.479 0.764 0.871
O 0.521 0.236 0.129
O 0.521 0.264 0.629
O 0.691 0.084 0.550
O 0.691 0.416 0.050
O 0.714 0.526 0.599
O 0.714 0.974 0.099
O 0.750 0.003 0.356
O 0.750 0.497 0.856
O 0.755 0.044 0.884
O 0.755 0.456 0.384
O 0.815 0.206 0.741
O 0.815 0.294 0.241
O 0.992 0.732 0.070
O 0.992 0.768 0.570

Computed properties:
Its symmetry is P2_1/c (14). Its total energy is -6.83 eV/atom. Its mass density is 3007 kg/m³. The crystal system is monoclinic.